PBE BeCuSbPt, optimized geometry; symmetry = F-43m; relative energy among the computed polymorphs = 0 meV/atom
1.0
0.000 3.123 3.123
3.123 0.000 3.123
3.123 3.123 0.000
Be Cu Pt Sb
1 1 1 1
Cartesian
4.685 4.685 4.685
0.000 0.000 0.000
3.123 3.123 3.123
1.562 1.562 1.562

***

PBE BaMgCoSb, optimized geometry; symmetry = F-43m; relative energy among the computed polymorphs = 0 meV/atom
1.0
2.477 -4.398 0.142
-2.422 -4.297 -1.078
1.017 -2.464 -4.288
Ba Co Mg Sb
1 1 1 1
Cartesian
0.000 0.000 0.000
0.268 -2.790 -1.306
0.804 -8.369 -3.918
0.536 -5.579 -2.612

***

PBE ErAuSeO, optimized geometry; symmetry = Aea2; relative energy among the computed polymorphs = 18 meV/atom
1.0
2.110 1.943 -2.709
2.769 0.747 2.709
8.992 -16.310 -4.696
Au Er O Se
4 4 4 4
Cartesian
4.530 -2.475 -2.355
4.863 -3.079 0.352
9.380 -11.216 -1.994
9.053 -10.623 -4.704
1.582 0.015 -1.427
7.509 -4.967 -3.249
6.078 -8.140 -3.775
12.006 -13.122 -5.597
2.133 1.901 -2.519
2.462 1.303 0.190
6.629 -6.254 -4.867
6.959 -6.852 -2.159
4.754 0.016 -1.818
4.323 -4.973 -2.867
9.263 -8.132 -4.166
8.833 -13.121 -5.215

***

PBE TmTcAsO, optimized geometry; symmetry = P4/nmm; relative energy among the computed polymorphs = 1599 meV/atom
1.0
4.361 0.000 0.000
0.000 4.361 0.000
0.000 0.000 8.705
As O Tc Tm
2 2 2 2
Cartesian
0.000 2.180 2.631
2.180 0.000 6.074
0.000 0.000 0.000
2.180 2.180 0.000
0.000 2.180 0.133
2.180 0.000 8.572
0.000 0.000 4.352
2.180 2.180 4.352

***

PBE ZrF4, optimized geometry; symmetry = C2/m
1.0
3.604 -3.528 0.000
3.604 3.528 0.000
-2.077 0.000 4.281
F Zr
8 2
Cartesian
1.753 -1.758 1.152
1.753 1.758 1.152
-0.100 0.000 1.157
3.517 0.000 1.158
1.615 0.000 3.122
5.232 0.000 3.123
3.379 -1.758 3.129
3.379 1.758 3.129
3.604 -1.764 0.000
3.604 1.764 0.000

***

PBE Pa7Bi, optimized geometry; symmetry = Fm-3m
1.0
0.000 4.649 4.649
4.649 0.000 4.649
4.649 4.649 0.000
Bi Pa
1 7
Cartesian
0.000 0.000 0.000
0.000 2.325 2.325
2.325 0.000 2.325
2.325 2.325 4.649
2.325 2.325 0.000
2.325 4.649 2.325
4.649 2.325 2.325
4.649 4.649 4.649

***

PBE Ho4TlB2Pb, optimized geometry; symmetry = P-6m2
1.0
-1.477 -1.481 -2.992
3.602 0.564 0.170
2.083 -15.278 6.535
B Ho Pb Tl
2 4 1 1
Cartesian
2.429 -3.930 0.747
3.473 -11.584 4.020
0.549 -3.242 -0.893
0.710 -5.205 2.226
1.374 -10.074 4.309
1.966 -13.635 3.553
0.000 0.000 0.000
1.258 -8.439 1.330

***

PBE MgAg3, optimized geometry; symmetry = P4/mmm; relative energy among the computed polymorphs = 3 meV/atom
1.0
-0.896 4.042 -0.076
-2.285 -0.442 3.425
3.350 0.787 2.337
Ag Mg
3 1
Cartesian
-1.590 1.800 1.674
1.227 2.414 1.130
0.533 0.172 2.881
0.000 0.000 0.000

***

PBE Na2SnPb3Au2, optimized geometry; symmetry = P1
1.0
-3.810 0.140 -2.603
4.087 -4.044 -2.120
-3.427 -5.850 4.705
Au Na Pb Sn
2 2 3 1
Cartesian
-1.790 -3.047 -1.646
-1.328 -6.839 1.573
1.042 -4.843 -1.794
-4.176 -4.879 1.750
0.402 -1.285 -0.664
-0.915 -3.801 1.128
-2.210 -6.018 -1.187
-3.628 -8.305 0.767

***

PBE NbCo2Sn, optimized geometry; symmetry = Pmma
1.0
-7.667 -1.377 -4.103
2.545 -4.168 -3.357
-1.068 -3.097 3.035
Co Nb Sn
8 4 4
Cartesian
-1.361 -1.595 -1.646
-0.078 -3.696 -3.338
0.102 -2.591 0.678
-3.731 -3.279 -1.373
1.374 -4.674 -1.000
-2.459 -5.363 -3.052
-6.113 -4.946 -1.087
-4.830 -7.047 -2.779
0.000 0.000 0.000
-3.834 -0.688 -2.051
-4.974 -4.553 -3.348
-1.217 -4.088 -1.077
1.272 -2.084 -1.679
-2.561 -2.773 -3.730
-6.228 -2.417 -1.720
-2.507 -2.056 0.652

***

PBE ZnNi2Bi, optimized geometry; symmetry = F-43m
1.0
-1.501 0.468 4.189
-4.369 0.600 0.757
-2.412 -3.261 1.890
Bi Ni Zn
1 2 1
Cartesian
-2.071 -0.548 1.709
-4.141 -1.096 3.418
-6.212 -1.645 5.127
0.000 0.000 0.000

***

PBE TbPaHg, optimized geometry; E_form = 0.441 eV per atom; symmetry = F-43m; relative energy among the computed polymorphs = 0 meV/atom
1.0
0.000 3.591 3.591
3.591 0.000 3.591
3.591 3.591 0.000
Hg Pa Tb
1 1 1
Cartesian
0.000 0.000 0.000
1.795 1.795 1.795
5.386 5.386 5.386

***

What are the ρ values for these records? In order: 10.6 6.2 10.2 7.2 5.1 15.1 9.4 8.1 9.1 9.4 10.3 10.6 Mg/m³.
What are the VASP energy values for these records? In order: -17.3 -14.0 -95.6 -50.4 -66.6 -71.4 -39.0 -10.7 -26.2 -115.3 -15.4 -13.1 eV for the cell shown.